(1)
VASP calculation (PBE) on a relaxed LiPtBr2 crystal.

Unit cell a=3.6427 b=3.6616 c=8.0790 alpha=90.00 beta=90.00 gamma=90.00
Element x y z (fractional)
Li1 0.0000 0.0000 0.0000
Pt1 0.5000 0.0000 0.5000
Br1 0.0000 0.5000 0.5000
Br2 0.5000 0.5000 0.0000

* excess energy over the best structure of this formula in the dataset: 0.36 eV/f.u.
* calculated total energy: -12.87 eV per cell
* formation energy without anion corrections: -9.0 kcal/mol of atoms
* M_tot: 0.00 μB per cell
* space-group type: Pmmm, No. 47

---

(2)
VASP calculation (PBE) on a relaxed LiPtBr crystal.

Unit cell a=4.3911 b=4.3911 c=3.4942 alpha=90.00 beta=90.00 gamma=120.00
Element x y z (fractional)
Li1 0.0000 0.0000 0.0000
Pt1 0.6667 0.3333 0.5000
Br1 0.3333 0.6667 0.5000

* excess energy over the best structure of this formula in the dataset: 1.45 eV/f.u.
* calculated total energy: -10.13 eV per cell
* formation energy without anion corrections: -3.9 kcal/mol of atoms
* M_tot: 0.00 μB per cell
* space-group type: P-6m2, No. 187

---

(3)
VASP calculation (PBE) on a relaxed LiPtBr2 crystal.

Unit cell a=3.6590 b=3.6590 c=23.5789 alpha=90.00 beta=90.00 gamma=120.00
Element x y z (fractional)
Li1 0.0000 0.0000 0.0000
Li2 0.3333 0.6667 0.6667
Li3 0.6667 0.3333 0.3333
Pt1 0.0000 0.0000 0.5000
Pt2 0.3333 0.6667 0.1667
Pt3 0.6667 0.3333 0.8333
Br1 0.0000 0.0000 0.3977
Br2 0.0000 0.0000 0.6023
Br3 0.3333 0.6667 0.0644
Br4 0.3333 0.6667 0.2690
Br5 0.6667 0.3333 0.7310
Br6 0.6667 0.3333 0.9356

* excess energy over the best structure of this formula in the dataset: 0.29 eV/f.u.
* calculated total energy: -38.80 eV per cell
* formation energy without anion corrections: -9.4 kcal/mol of atoms
* M_tot: 0.00 μB per cell
* space-group type: R-3m, No. 166

---

(4)
VASP calculation (PBE) on a relaxed RbLiPtBr6 crystal.

Unit cell a=6.8417 b=6.8417 c=7.7316 alpha=90.00 beta=90.00 gamma=120.00
Element x y z (fractional)
Rb1 0.0000 0.0000 0.0000
Li1 0.3333 0.6667 0.5000
Pt1 0.6667 0.3333 0.5000
Br1 0.3787 0.0236 0.6876
Br2 0.3787 0.3551 0.3124
Br3 0.6449 0.0236 0.3124
Br4 0.6449 0.6213 0.6876
Br5 0.9764 0.3551 0.6876
Br6 0.9764 0.6213 0.3124

* calculated total energy: -26.85 eV per cell
* formation energy without anion corrections: -20.2 kcal/mol of atoms
* M_tot: 0.00 μB per cell
* space-group type: P312, No. 149

---

(5)
VASP calculation (PBE) on a relaxed LiPtSeBr2 crystal.

Unit cell a=5.3838 b=5.3838 c=4.8028 alpha=90.00 beta=90.00 gamma=90.00
Element x y z (fractional)
Li1 0.0000 0.0000 0.0000
Pt1 0.5000 0.5000 0.5000
Se1 0.5000 0.5000 0.0000
Br1 0.0000 0.5000 0.5000
Br2 0.5000 0.0000 0.5000

* excess energy over the best structure of this formula in the dataset: 0.00 eV/f.u.
* calculated total energy: -16.05 eV per cell
* formation energy without anion corrections: -5.8 kcal/mol of atoms
* M_tot: 0.00 μB per cell
* space-group type: P4/mmm, No. 123

---

(6)
VASP calculation (PBE) on a relaxed LiSnPt2Br crystal.

Unit cell a=4.4406 b=4.4406 c=5.0423 alpha=90.00 beta=90.00 gamma=90.00
Element x y z (fractional)
Li1 0.0000 0.0000 0.0000
Sn1 0.0000 0.0000 0.5000
Pt1 0.0000 0.5000 0.0000
Pt2 0.5000 0.0000 0.0000
Br1 0.5000 0.5000 0.5000

* calculated total energy: -17.47 eV per cell
* formation energy without anion corrections: 10.2 kcal/mol of atoms
* M_tot: 0.00 μB per cell
* space-group type: P4/mmm, No. 123

---

(7)
VASP calculation (PBE) on a relaxed LiTePt2Br crystal.

Unit cell a=4.9689 b=4.9689 c=6.0015 alpha=90.00 beta=90.00 gamma=90.00
Element x y z (fractional)
Li1 0.0000 0.0000 0.0000
Te1 0.5000 0.5000 0.5000
Pt1 0.0000 0.5000 0.5000
Pt2 0.5000 0.0000 0.5000
Br1 0.5000 0.5000 0.0000

* calculated total energy: -17.85 eV per cell
* formation energy without anion corrections: 4.4 kcal/mol of atoms
* M_tot: 0.00 μB per cell
* space-group type: P4/mmm, No. 123

---

(8)
VASP calculation (PBE) on a relaxed LiTl2PtBr crystal.

Unit cell a=5.5266 b=5.5266 c=4.3479 alpha=90.00 beta=90.00 gamma=90.00
Element x y z (fractional)
Li1 0.0000 0.0000 0.0000
Tl1 0.0000 0.5000 0.0000
Tl2 0.5000 0.0000 0.0000
Pt1 0.0000 0.0000 0.5000
Br1 0.5000 0.5000 0.5000

* calculated total energy: -14.39 eV per cell
* formation energy without anion corrections: -0.2 kcal/mol of atoms
* M_tot: 0.00 μB per cell
* space-group type: P4/mmm, No. 123

---

(9)
VASP calculation (PBE) on a relaxed LiTl2PtBr6 crystal.

Unit cell a=13.5432 b=13.5432 c=13.5432 alpha=31.52 beta=31.52 gamma=31.52
Element x y z (fractional)
Li1 0.0791 0.0791 0.0791
Li2 0.9209 0.9209 0.9209
Tl1 0.1949 0.1949 0.1949
Tl2 0.3834 0.3834 0.3834
Tl3 0.6166 0.6166 0.6166
Tl4 0.8051 0.8051 0.8051
Pt1 0.0000 0.0000 0.0000
Pt2 0.5000 0.5000 0.5000
Br1 0.1257 0.1257 0.6333
Br2 0.1257 0.6333 0.1257
Br3 0.2077 0.7044 0.7044
Br4 0.2956 0.2956 0.7923
Br5 0.2956 0.7923 0.2956
Br6 0.3667 0.8743 0.8743
Br7 0.6333 0.1257 0.1257
Br8 0.7044 0.2077 0.7044
Br9 0.7044 0.7044 0.2077
Br10 0.7923 0.2956 0.2956
Br11 0.8743 0.3667 0.8743
Br12 0.8743 0.8743 0.3667

* calculated total energy: -59.32 eV per cell
* formation energy without anion corrections: -16.0 kcal/mol of atoms
* M_tot: 0.00 μB per cell
* space-group type: R-3m, No. 166

---

(10)
VASP calculation (PBE) on a relaxed LiYPtBr2 crystal.

Unit cell a=4.4663 b=4.4663 c=6.5037 alpha=90.00 beta=90.00 gamma=90.00
Element x y z (fractional)
Li1 0.0000 0.0000 0.0000
Y1 0.0000 0.0000 0.5000
Pt1 0.5000 0.5000 0.5000
Br1 0.0000 0.5000 0.0000
Br2 0.5000 0.0000 0.0000

* calculated total energy: -19.05 eV per cell
* formation energy without anion corrections: -5.9 kcal/mol of atoms
* M_tot: 0.00 μB per cell
* space-group type: P4/mmm, No. 123

---

(11)
VASP calculation (PBE) on a relaxed Li3PuBr8 crystal.

Unit cell a=8.0917 b=8.0917 c=8.3246 alpha=119.76 beta=119.76 gamma=59.98
Element x y z (fractional)
Li1 0.0000 0.0000 0.0000
Li2 0.0000 0.5000 0.0000
Li3 0.5000 0.0000 0.0000
Pu1 0.5000 0.5000 0.0000
Br1 0.2249 0.2249 0.1716
Br2 0.2633 0.2633 0.7682
Br3 0.2634 0.7361 0.7676
Br4 0.2639 0.7366 0.2324
Br5 0.7361 0.2634 0.7676
Br6 0.7366 0.2639 0.2324
Br7 0.7367 0.7367 0.2318
Br8 0.7751 0.7751 0.8284

* calculated total energy: -48.43 eV per cell
* formation energy without anion corrections: -28.8 kcal/mol of atoms
* M_tot: 2.94 μB per cell
* space-group type: C2/m, No. 12

---

(12)
VASP calculation (PBE) on a relaxed Li5Pu3Br12 crystal.

Unit cell a=14.2341 b=14.2341 c=14.2341 alpha=109.47 beta=109.47 gamma=109.47
Element x y z (fractional)
Li1 0.0000 0.0000 0.0000
Li2 0.0000 0.0000 0.5000
Li3 0.0000 0.5000 0.0000
Li4 0.0000 0.5000 0.5000
Li5 0.1250 0.7500 0.8750
Li6 0.1250 0.8750 0.2500
Li7 0.2500 0.1250 0.8750
Li8 0.2500 0.6250 0.3750
Li9 0.3750 0.2500 0.6250
Li10 0.3750 0.6250 0.7500
Li11 0.5000 0.0000 0.0000
Li12 0.5000 0.0000 0.5000
Li13 0.5000 0.5000 0.0000
Li14 0.5000 0.5000 0.5000
Li15 0.6250 0.3750 0.2500
Li16 0.6250 0.7500 0.3750
Li17 0.7500 0.3750 0.6250
Li18 0.7500 0.8750 0.1250
Li19 0.8750 0.1250 0.7500
Li20 0.8750 0.2500 0.1250
Pu1 0.1250 0.2500 0.3750
Pu2 0.1250 0.3750 0.7500
Pu3 0.2500 0.3750 0.1250
Pu4 0.2500 0.8750 0.6250
Pu5 0.3750 0.1250 0.2500
Pu6 0.3750 0.7500 0.1250
Pu7 0.6250 0.2500 0.8750
Pu8 0.6250 0.8750 0.7500
Pu9 0.7500 0.1250 0.3750
Pu10 0.7500 0.6250 0.8750
Pu11 0.8750 0.6250 0.2500
Pu12 0.8750 0.7500 0.6250
Br1 0.0345 0.2146 0.1245
Br2 0.0345 0.3199 0.9099
Br3 0.0901 0.6245 0.4100
Br4 0.0900 0.7146 0.6801
Br5 0.0900 0.8755 0.4099
Br6 0.0901 0.9655 0.6801
Br7 0.1245 0.0345 0.2146
Br8 0.1245 0.5901 0.9100
Br9 0.1801 0.2146 0.5900
Br10 0.1801 0.4655 0.5901
Br11 0.2146 0.1245 0.0345
Br12 0.2146 0.5900 0.1801
Br13 0.2854 0.3199 0.9100
Br14 0.2854 0.4655 0.3755
Br15 0.3199 0.9099 0.0345
Br16 0.3199 0.9100 0.2854
Br17 0.3755 0.2854 0.4655
Br18 0.3755 0.5900 0.9099
Br19 0.4100 0.0901 0.6245
Br20 0.4099 0.0900 0.8755
Br21 0.4099 0.8199 0.5345
Br22 0.4100 0.8199 0.7854
Br23 0.4655 0.3755 0.2854
Br24 0.4655 0.5901 0.1801
Br25 0.5345 0.4099 0.8199
Br26 0.5345 0.6245 0.7146
Br27 0.5900 0.1801 0.2146
Br28 0.5901 0.1801 0.4655
Br29 0.5901 0.9100 0.1245
Br30 0.5900 0.9099 0.3755
Br31 0.6245 0.4100 0.0901
Br32 0.6245 0.7146 0.5345
Br33 0.6801 0.0900 0.7146
Br34 0.6801 0.0901 0.9655
Br35 0.7146 0.5345 0.6245
Br36 0.7146 0.6801 0.0900
Br37 0.7854 0.4100 0.8199
Br38 0.7854 0.8755 0.9655
Br39 0.8199 0.5345 0.4099
Br40 0.8199 0.7854 0.4100
Br41 0.8755 0.4099 0.0900
Br42 0.8755 0.9655 0.7854
Br43 0.9099 0.0345 0.3199
Br44 0.9100 0.1245 0.5901
Br45 0.9100 0.2854 0.3199
Br46 0.9099 0.3755 0.5900
Br47 0.9655 0.6801 0.0901
Br48 0.9655 0.7854 0.8755

* calculated total energy: -410.75 eV per cell
* formation energy without anion corrections: -34.6 kcal/mol of atoms
* M_tot: 68.00 μB per cell
* space-group type: Ia-3d, No. 230